Entry 1:
## SrPm2Zn2Sn2 (PBE-GGA)

Data for a relaxed structure of SrPm2Zn2Sn2.

Computed properties:
Magnetic moment (μB per formula unit): 0.00
DOS at the Fermi energy (states/eV/f.u.): 6.3
ΔE_f (eV per atom): -0.38
Symmetry: No. 166
Calculated total energy (eV/atom): -3.48

a = 4.749 Å, b = 4.749 Å, c = 10.410 Å
α = 76.81°, β = 76.81°, γ = 60.00°
Sites, in units of the cell vectors:
Sr: 0.000 0.000 0.000
Pm: 0.132 0.132 0.603
Pm: 0.868 0.868 0.397
Zn: 0.578 0.578 0.267
Zn: 0.422 0.422 0.733
Sn: 0.740 0.740 0.779
Sn: 0.260 0.260 0.221


Entry 2:
## PmTaSn2 (PBE-GGA)

Data for a relaxed structure of PmTaSn2.

Computed properties:
Magnetic moment (μB per formula unit): 0.00
DOS at the Fermi energy (states/eV/f.u.): 3.1
ΔE_f (eV per atom): 0.33
Symmetry: No. 166
Calculated total energy (eV/atom): -5.82

a = 3.217 Å, b = 3.217 Å, c = 11.483 Å
α = 81.95°, β = 81.95°, γ = 60.00°
Sites, in units of the cell vectors:
Pm: 0.500 0.500 0.500
Sn: 0.084 0.084 0.749
Sn: 0.916 0.916 0.251
Ta: 0.000 0.000 0.000


Entry 3:
## TbPmSn4 (PBE-GGA)

Data for a relaxed structure of TbPmSn4.

Computed properties:
Magnetic moment (μB per formula unit): 0.00
DOS at the Fermi energy (states/eV/f.u.): 2.6
ΔE_f (eV per atom): -0.39
Symmetry: No. 65
Calculated total energy (eV/atom): -4.63

a = 5.788 Å, b = 5.788 Å, c = 6.253 Å
α = 90.00°, β = 90.00°, γ = 115.58°
Sites, in units of the cell vectors:
Tb: 0.001 0.997 0.498
Pm: 0.501 0.497 0.998
Sn: 0.501 0.997 0.250
Sn: 0.501 0.997 0.746
Sn: 0.001 0.497 0.746
Sn: 0.001 0.497 0.250


Entry 4:
## TbPm5Sn8 (PBE-GGA)

Data for a relaxed structure of TbPm5Sn8.

Computed properties:
Magnetic moment (μB per formula unit): 0.00
DOS at the Fermi energy (states/eV/f.u.): 9.2
ΔE_f (eV per atom): -0.55
Symmetry: No. 82
Calculated total energy (eV/atom): -4.87

a = 8.147 Å, b = 8.147 Å, c = 8.147 Å
α = 107.10°, β = 114.32°, γ = 107.10°
Sites, in units of the cell vectors:
Tb: 0.250 0.500 0.750
Pm: 0.986 0.362 0.123
Pm: 0.877 0.864 0.239
Pm: 0.761 0.638 0.624
Pm: 0.500 0.000 0.500
Pm: 0.376 0.136 0.014
Sn: 0.136 0.737 0.039
Sn: 0.961 0.097 0.698
Sn: 0.795 0.243 0.388
Sn: 0.612 0.407 0.854
Sn: 0.447 0.593 0.205
Sn: 0.601 0.903 0.864
Sn: 0.302 0.263 0.399
Sn: 0.146 0.757 0.553


Entry 5:
## TbPm5Sn4 (PBE-GGA)

Data for a relaxed structure of TbPm5Sn4.

Computed properties:
Magnetic moment (μB per formula unit): 0.00
DOS at the Fermi energy (states/eV/f.u.): 6.5
ΔE_f (eV per atom): -0.56
Symmetry: No. 12
Calculated total energy (eV/atom): -5.00

a = 5.401 Å, b = 7.256 Å, c = 11.257 Å
α = 129.73°, β = 103.88°, γ = 90.00°
Sites, in units of the cell vectors:
Tb: 0.500 0.000 0.000
Pm: 0.833 0.673 0.666
Pm: 0.834 0.164 0.668
Pm: 0.166 0.836 0.332
Pm: 0.500 0.500 0.000
Pm: 0.167 0.327 0.334
Sn: 0.326 0.900 0.651
Sn: 0.992 0.738 0.984
Sn: 0.674 0.100 0.349
Sn: 0.008 0.262 0.016


Entry 6:
## Tb3Pm2Sn3 (PBE-GGA)

Data for a relaxed structure of Tb3Pm2Sn3.

Computed properties:
Magnetic moment (μB per formula unit): 0.00
DOS at the Fermi energy (states/eV/f.u.): 5.8
ΔE_f (eV per atom): -0.70
Symmetry: No. 193
Calculated total energy (eV/atom): -5.13

a = 6.695 Å, b = 9.104 Å, c = 9.104 Å
α = 120.00°, β = 90.00°, γ = 90.00°
Sites, in units of the cell vectors:
Tb: 0.750 0.238 0.000
Tb: 0.750 0.762 0.762
Tb: 0.750 0.000 0.238
Tb: 0.250 0.762 0.000
Tb: 0.250 0.238 0.238
Tb: 0.250 0.000 0.762
Pm: 0.000 0.333 0.667
Pm: 0.500 0.667 0.333
Pm: 0.000 0.667 0.333
Pm: 0.500 0.333 0.667
Sn: 0.750 0.608 0.000
Sn: 0.750 0.392 0.392
Sn: 0.750 0.000 0.608
Sn: 0.250 0.392 0.000
Sn: 0.250 0.608 0.608
Sn: 0.250 0.000 0.392


Entry 7:
## TbPm12Sn6 (PBE-GGA)

Data for a relaxed structure of TbPm12Sn6.

Computed properties:
Magnetic moment (μB per formula unit): 0.00
DOS at the Fermi energy (states/eV/f.u.): 23.0
ΔE_f (eV per atom): -0.27
Symmetry: No. 148
Calculated total energy (eV/atom): -4.78

a = 9.154 Å, b = 9.154 Å, c = 9.154 Å
α = 107.47°, β = 107.47°, γ = 107.47°
Sites, in units of the cell vectors:
Tb: 0.000 0.000 0.000
Pm: 0.915 0.658 0.564
Pm: 0.564 0.915 0.658
Pm: 0.658 0.564 0.915
Pm: 0.085 0.342 0.436
Pm: 0.436 0.085 0.342
Pm: 0.342 0.436 0.085
Pm: 0.030 0.892 0.335
Pm: 0.108 0.665 0.970
Pm: 0.665 0.970 0.108
Pm: 0.970 0.108 0.665
Pm: 0.892 0.335 0.030
Pm: 0.335 0.030 0.892
Sn: 0.656 0.781 0.344
Sn: 0.656 0.344 0.219
Sn: 0.219 0.656 0.344
Sn: 0.344 0.219 0.656
Sn: 0.344 0.656 0.781
Sn: 0.781 0.344 0.656


Entry 8:
## TbPm3Sn5 (PBE-GGA)

Data for a relaxed structure of TbPm3Sn5.

Computed properties:
Magnetic moment (μB per formula unit): 0.00
DOS at the Fermi energy (states/eV/f.u.): 8.9
ΔE_f (eV per atom): -0.63
Symmetry: No. 193
Calculated total energy (eV/atom): -4.95

a = 6.447 Å, b = 9.532 Å, c = 9.532 Å
α = 120.00°, β = 90.00°, γ = 90.00°
Sites, in units of the cell vectors:
Tb: 0.000 0.000 0.000
Tb: 0.500 0.000 0.000
Pm: 0.750 0.382 0.000
Pm: 0.750 0.618 0.618
Pm: 0.750 0.000 0.382
Pm: 0.250 0.618 0.000
Pm: 0.250 0.382 0.382
Pm: 0.250 0.000 0.618
Sn: 0.000 0.333 0.667
Sn: 0.500 0.667 0.333
Sn: 0.000 0.667 0.333
Sn: 0.500 0.333 0.667
Sn: 0.750 0.715 0.000
Sn: 0.750 0.285 0.285
Sn: 0.750 0.000 0.715
Sn: 0.250 0.285 0.000
Sn: 0.250 0.715 0.715
Sn: 0.250 0.000 0.285


Entry 9:
## Tb2Pm3Sn3 (PBE-GGA)

Data for a relaxed structure of Tb2Pm3Sn3.

Computed properties:
Magnetic moment (μB per formula unit): 0.00
DOS at the Fermi energy (states/eV/f.u.): 8.0
ΔE_f (eV per atom): -0.72
Symmetry: No. 193
Calculated total energy (eV/atom): -5.16

a = 6.683 Å, b = 9.148 Å, c = 9.148 Å
α = 120.00°, β = 90.00°, γ = 90.00°
Sites, in units of the cell vectors:
Tb: 0.000 0.333 0.667
Tb: 0.500 0.667 0.333
Tb: 0.000 0.667 0.333
Tb: 0.500 0.333 0.667
Pm: 0.750 0.241 0.000
Pm: 0.750 0.759 0.759
Pm: 0.750 0.000 0.241
Pm: 0.250 0.759 0.000
Pm: 0.250 0.241 0.241
Pm: 0.250 0.000 0.759
Sn: 0.750 0.603 0.000
Sn: 0.750 0.397 0.397
Sn: 0.750 0.000 0.603
Sn: 0.250 0.397 0.000
Sn: 0.250 0.603 0.603
Sn: 0.250 0.000 0.397


Entry 10:
## Tb2PmSn (PBE-GGA)

Data for a relaxed structure of Tb2PmSn.

Computed properties:
Magnetic moment (μB per formula unit): 0.00
Energy above the lowest structure with this stoichiometry (meV/atom): 206
DOS at the Fermi energy (states/eV/f.u.): 3.9
ΔE_f (eV per atom): -0.23
Symmetry: No. 166
Calculated total energy (eV/atom): -4.73

a = 3.588 Å, b = 3.588 Å, c = 11.199 Å
α = 80.78°, β = 80.78°, γ = 60.00°
Sites, in units of the cell vectors:
Tb: 0.755 0.755 0.734
Tb: 0.245 0.245 0.266
Sn: 0.500 0.500 0.500
Pm: 0.000 0.000 0.000